Density functional theory data (GGA-PBE) for a relaxed Sr2Li7Zn crystal.

CIF file:
```
data_Sr2Li7Zn
_symmetry_space_group_name_H-M 'P 1'
_symmetry_Int_Tables_number 1
_symmetry_space_group_name_Hall 'P 1'
_cell_length_a 4.866
_cell_length_b 4.866
_cell_length_c 11.208
_cell_angle_alpha 90.00
_cell_angle_beta 90.00
_cell_angle_gamma 90.00
loop_
_atom_site_label
_atom_site_fract_x
_atom_site_fract_y
_atom_site_fract_z
_atom_site_occupancy
Sr1 0.000 0.500 0.231 1
Sr2 0.500 0.000 0.769 1
Li1 0.000 0.000 0.000 1
Li2 0.000 0.000 0.500 1
Li3 0.000 0.500 0.644 1
Li4 0.000 0.500 0.898 1
Li5 0.500 0.000 0.102 1
Li6 0.500 0.000 0.356 1
Li7 0.500 0.500 0.500 1
Zn1 0.500 0.500 0.000 1
```

Output
**Formation enthalpy at 0 K**: 0.0109 eV/atom
**Space-group type**: P-4m2 (115)
**Calculated volume**: 265.36 Å³/f.u.